## Li2FeO2F (PBE+U)

Data for a relaxed Li2FeO2F crystal.

Unit cell a=5.132 b=5.132 c=9.755 alpha=85.70 beta=85.70 gamma=119.36
Last column: magnetic moment on the atom in μB.
Positions (direct):
Li 0.691 0.828 0.500  0.00
Li 0.500 0.000 0.000  0.01
Li 0.074 0.926 0.250  0.00
Li 0.172 0.309 0.000  0.00
Li 0.000 0.500 0.500  0.01
Li 0.828 0.691 0.000  0.00
Li 0.926 0.074 0.750  0.00
Li 0.309 0.172 0.500  0.00
Fe 0.249 0.751 0.750  3.13
Fe 0.432 0.568 0.250  4.30
Fe 0.568 0.432 0.750  4.30
Fe 0.751 0.249 0.250  3.13
O 0.766 0.958 0.140  0.06
O 0.519 0.697 0.867  0.11
O 0.303 0.481 0.633  0.11
O 0.958 0.766 0.640  0.06
O 0.042 0.234 0.360  0.06
O 0.697 0.519 0.367  0.11
O 0.481 0.303 0.133  0.11
O 0.234 0.042 0.860  0.06
F 0.361 0.858 0.379  0.06
F 0.858 0.361 0.879  0.06
F 0.142 0.639 0.121  0.06
F 0.639 0.142 0.621  0.06

Output
Energy above the lowest structure with this stoichiometry   152 meV per atom
Density   3.6 g cm⁻³
Calculated total energy   -5.53 eV/atom